A plane-wave DFT calculation with PBE-GGA was carried out for an optimized crystal structure of LiAuO2.

Mass density (g cm⁻³): 9.183
Uncorrected energy (Ha/atom): -0.1468
Space-group type: Fm-3m, No. 225
DOS(E_F) (states/eV/cell): 1.14

The structure in extended XYZ format:
```
4
Lattice="0.000 2.773 2.773 2.773 0.000 2.773 2.773 2.773 0.000" Properties=species:S:1:pos:R:3 pbc="T T T"
Li 0.000 0.000 0.000
O 4.160 4.160 4.160
O 1.387 1.387 1.387
Au 2.773 2.773 2.773
```

***

A plane-wave DFT calculation with PBE-GGA was carried out for an optimized crystal structure of LiPaAuO5.

Mass density (g cm⁻³): 7.422
Uncorrected energy (Ha/atom): -0.2464
Space-group type: C2/c, No. 15
DOS(E_F) (states/eV/cell): 1.27

The structure in extended XYZ format:
```
16
Lattice="-4.891 2.530 -0.669 -0.607 -5.174 1.906 1.605 3.332 7.296" Properties=species:S:1:pos:R:3 pbc="T T T"
O -3.658 2.199 2.957
O -1.227 1.182 4.749
O -0.316 -0.701 8.132
O -0.235 -1.511 5.575
O -2.666 -0.494 3.783
O -3.577 1.389 0.401
O -3.278 4.294 5.048
O -1.813 -0.873 1.232
O -2.079 1.561 7.301
O -0.614 -3.606 3.484
Au -2.929 0.556 2.093
Au -0.964 0.132 6.440
Li -1.539 -1.942 2.928
Li -2.353 2.630 5.605
Pa 0.803 1.666 3.648
Pa 0.000 0.000 0.000
```

***

A plane-wave DFT calculation with PBE-GGA was carried out for an optimized crystal structure of LiPaAuO4.

Mass density (g cm⁻³): 7.692
Uncorrected energy (Ha/atom): -0.2568
Space-group type: Imma, No. 74
DOS(E_F) (states/eV/cell): 0.43

The structure in extended XYZ format:
```
14
Lattice="6.174 0.000 0.000 -3.087 6.122 -0.301 0.000 -3.572 5.875" Properties=species:S:1:pos:R:3 pbc="T T T"
O 3.087 1.812 1.305
O 0.000 2.343 1.629
O 0.000 0.738 4.269
O 1.753 -2.395 4.579
O -1.335 4.945 0.995
O 1.334 4.945 0.995
O 4.422 -2.395 4.579
O 3.087 0.206 3.945
Pa 3.087 0.000 0.000
Pa 3.087 -1.786 2.937
Au -1.544 1.275 2.787
Au 1.544 1.275 2.787
Li 3.087 3.933 0.380
Li 0.000 -1.383 5.194
```

***

A plane-wave DFT calculation with PBE-GGA was carried out for an optimized crystal structure of LiPaAuO6.

Mass density (g cm⁻³): 7.843
Uncorrected energy (Ha/atom): -0.2374
Space-group type: P312, No. 149
DOS(E_F) (states/eV/cell): 6.31

The structure in extended XYZ format:
```
9
Lattice="-2.379 -2.996 -2.827 4.522 -1.986 -1.701 -2.355 -2.071 4.177" Properties=species:S:1:pos:R:3 pbc="T T T"
O 2.005 -4.853 -2.457
O -0.275 -4.975 -0.409
O 2.290 -4.172 0.403
O -0.314 -2.854 -2.624
O 2.456 -2.141 -1.890
O 0.078 -2.078 0.045
Pa -0.063 -2.043 2.218
Au -1.190 -1.498 -1.414
Li 1.040 -3.512 -1.155
```

***

A plane-wave DFT calculation with PBE-GGA was carried out for an optimized crystal structure of LiPbAu2O4.

Mass density (g cm⁻³): 8.840
Uncorrected energy (Ha/atom): -0.1678
Space-group type: I222, No. 23
DOS(E_F) (states/eV/cell): 3.58

The structure in extended XYZ format:
```
8
Lattice="-3.758 -0.375 4.910 -5.466 -0.600 -0.322 -2.065 -4.712 1.967" Properties=species:S:1:pos:R:3 pbc="T T T"
O -6.135 -2.369 1.361
O -6.769 -1.365 4.107
O -6.037 -4.473 4.430
O -3.637 -3.166 3.212
Pb -1.879 -0.187 2.455
Au -2.922 -3.676 1.391
Au -4.609 -1.636 0.255
Li -5.644 -2.843 3.278
```

***

A plane-wave DFT calculation with PBE-GGA was carried out for an optimized crystal structure of LiPbAuO2.

Mass density (g cm⁻³): 9.399
Uncorrected energy (Ha/atom): -0.1726
Space-group type: P2/c, No. 13
DOS(E_F) (states/eV/cell): 0.03

The structure in extended XYZ format:
```
10
Lattice="-1.159 -4.571 0.723 1.634 0.432 5.349 -5.849 1.498 0.095" Properties=species:S:1:pos:R:3 pbc="T T T"
Li -2.016 -1.812 0.369
Li -4.991 -1.262 0.448
O -0.194 -1.458 1.498
O -5.180 -1.184 4.668
O -1.908 -0.564 4.405
O -3.465 -2.078 1.762
Pb -3.924 -0.061 2.967
Pb -1.449 -2.581 3.200
Au -2.925 0.749 0.047
Au 0.000 0.000 0.000
```

***

A plane-wave DFT calculation with PBE-GGA was carried out for an optimized crystal structure of LiPb2AuO6.

Mass density (g cm⁻³): 8.517
Uncorrected energy (Ha/atom): -0.1730
Space-group type: P4mm, No. 99
DOS(E_F) (states/eV/cell): 7.82

The structure in extended XYZ format:
```
10
Lattice="4.369 0.000 0.000 0.000 5.646 0.000 0.000 0.000 5.646" Properties=species:S:1:pos:R:3 pbc="T T T"
O 3.073 1.419 1.419
O 3.073 4.227 4.227
O 0.757 2.823 2.823
O 3.073 4.227 1.419
O 3.073 1.419 4.227
O 0.658 0.000 0.000
Pb 0.088 2.823 0.000
Pb 0.088 0.000 2.823
Li 2.634 0.000 0.000
Au 2.911 2.823 2.823
```

***

A plane-wave DFT calculation with PBE-GGA was carried out for an optimized crystal structure of LiPdAuO4.

Mass density (g cm⁻³): 6.908
Uncorrected energy (Ha/atom): -0.1792
Space-group type: Imma, No. 74
DOS(E_F) (states/eV/cell): 2.30

The structure in extended XYZ format:
```
14
Lattice="-1.435 -3.328 4.813 0.533 -3.068 -5.734 5.110 1.751 2.734" Properties=species:S:1:pos:R:3 pbc="T T T"
Pd -0.717 -1.664 2.406
Pd 1.838 -0.789 3.773
O 1.278 -3.339 -3.602
O 0.407 -3.208 1.674
O 1.536 -2.214 -1.073
O 3.801 -1.438 0.138
O 0.641 -4.817 -1.466
O 2.672 -2.432 2.885
O 3.567 0.171 3.278
O 2.930 -1.307 5.414
Li -0.302 -4.857 0.322
Li 4.510 0.211 1.490
Au 2.821 -0.659 -1.500
Au 2.104 -2.323 0.906
```

***

A plane-wave DFT calculation with PBE-GGA was carried out for an optimized crystal structure of Li2Pd2AuO6.

Mass density (g cm⁻³): 6.607
Uncorrected energy (Ha/atom): -0.1814
Space-group type: C2/m, No. 12
DOS(E_F) (states/eV/cell): 4.88

The structure in extended XYZ format:
```
11
Lattice="5.648 -0.189 0.105 -2.956 4.817 0.105 -0.922 -1.585 4.829" Properties=species:S:1:pos:R:3 pbc="T T T"
O 1.640 -1.070 3.562
O 3.511 2.147 1.477
O 1.331 2.288 3.588
O 0.440 0.756 1.451
O 0.131 4.113 1.477
O -1.740 0.897 3.562
Pd -0.497 2.326 2.519
Pd 2.268 0.718 2.519
Au -0.461 -0.792 2.415
Li -1.426 3.927 0.105
Li 4.119 0.701 0.105
```

***

A plane-wave DFT calculation with PBE-GGA was carried out for an optimized crystal structure of LiPm2AuO6.

Mass density (g cm⁻³): 7.835
Uncorrected energy (Ha/atom): -0.2382
Space-group type: P2_1/c, No. 14
DOS(E_F) (states/eV/cell): 0.00

The structure in extended XYZ format:
```
20
Lattice="5.465 0.000 0.013 0.000 5.866 0.000 0.067 0.000 7.800" Properties=species:S:1:pos:R:3 pbc="T T T"
O 0.638 2.713 5.865
O 4.430 4.757 4.313
O 1.102 1.108 3.500
O 3.774 1.727 4.350
O 1.007 1.206 0.443
O 2.195 5.646 5.842
O 3.338 0.220 1.971
O 4.525 4.660 7.370
O 1.759 4.139 3.463
O 1.664 4.041 0.407
O 4.894 3.153 1.948
O 3.868 1.824 7.406
Li 2.733 0.000 0.006
Li 0.033 2.933 3.900
Au 0.000 2.933 0.000
Au 2.766 0.000 3.906
Pm 2.891 3.371 5.869
Pm 5.407 0.438 5.851
Pm 0.125 5.428 1.962
Pm 2.641 2.495 1.944
```

***

A plane-wave DFT calculation with PBE-GGA was carried out for an optimized crystal structure of Li3Pm2AuO6.

Mass density (g cm⁻³): 6.514
Uncorrected energy (Ha/atom): -0.2192
Space-group type: C2/m, No. 12
DOS(E_F) (states/eV/cell): 1.84

The structure in extended XYZ format:
```
12
Lattice="5.804 0.090 -0.005 -2.822 5.072 -0.005 -0.995 -1.723 5.187" Properties=species:S:1:pos:R:3 pbc="T T T"
Pm 3.004 1.707 -0.005
Pm -0.023 3.455 -0.005
O -0.917 1.794 1.374
O 2.904 1.646 3.802
O -0.137 -0.237 4.023
O 2.012 0.102 1.374
O -0.025 3.338 3.802
O 2.123 3.677 1.153
Li 0.993 1.720 2.588
Li -2.009 3.454 2.588
Li 3.996 -0.014 2.588
Au 0.000 0.000 0.000
```

***

A plane-wave DFT calculation with PBE-GGA was carried out for an optimized crystal structure of LiPm2AuO.

Mass density (g cm⁻³): 8.629
Uncorrected energy (Ha/atom): -0.1981
Space-group type: P4/mmm, No. 123
DOS(E_F) (states/eV/cell): 2.52

The structure in extended XYZ format:
```
5
Lattice="3.962 0.000 0.000 0.000 4.977 0.000 0.000 0.000 4.977" Properties=species:S:1:pos:R:3 pbc="T T T"
Au 1.981 2.488 2.488
Li 1.981 0.000 0.000
Pm 0.000 2.488 0.000
Pm 0.000 0.000 2.488
O 0.000 0.000 0.000
```

***

| no. | uncorrected formation energy (eV/atom) |
| --- | --- |
| 1 | -0.2179 |
| 2 | -1.7705 |
| 3 | -2.0560 |
| 4 | -1.5231 |
| 5 | -0.5644 |
| 6 | -0.9329 |
| 7 | -0.4717 |
| 8 | -0.5584 |
| 9 | -0.6414 |
| 10 | -2.0369 |
| 11 | -1.9418 |
| 12 | -1.4607 |